[1]
A plane-wave DFT calculation with PBE was carried out for a relaxed structure of Li3Tm2AlSe6.

space group: C2/m (12)
E_form (uncorrected): -1.439 eV per atom
total magnetic moment: 0.0 μB per formula unit

Unit cell a=6.8146 b=6.8146 c=6.8364 alpha=99.52 beta=99.52 gamma=120.03
Closest atoms and distances in Å follow each position.
Atoms (fractional coordinates):
Li1 0.0000 0.0000 0.0000  6 Se 2.75-2.95
Li2 0.3385 0.6615 0.0000  6 Se 2.73-2.98
Li3 0.6615 0.3385 0.0000  6 Se 2.73-2.98
Tm1 0.1674 0.8326 0.5000  6 Se 2.82
Tm2 0.8326 0.1674 0.5000  6 Se 2.82
Al1 0.5000 0.5000 0.5000  6 Se 2.61-2.64
Se1 0.1071 0.4188 0.2562  1 Al 2.64, 2 Li 2.75, 2 Tm 2.82
Se2 0.2689 0.2689 0.7383  1 Al 2.61, 2 Li 2.73, 2 Tm 2.82
Se3 0.4188 0.1071 0.2562  1 Al 2.64, 2 Li 2.75, 2 Tm 2.82
Se4 0.5812 0.8929 0.7438  1 Al 2.64, 2 Li 2.75, 2 Tm 2.82
Se5 0.7311 0.7311 0.2617  1 Al 2.61, 2 Li 2.73, 2 Tm 2.82
Se6 0.8929 0.5812 0.7438  1 Al 2.64, 2 Li 2.75, 2 Tm 2.82



[2]
A plane-wave DFT calculation with PBE was carried out for a relaxed structure of TlAgGeHSe.

space group: Pm (6)
total magnetic moment: 0.0 μB per formula unit
VASP energy: -16.7 eV per cell

Unit cell a=4.9332 b=4.0142 c=6.1401 alpha=90.00 beta=112.64 gamma=90.00
Closest atoms and distances in Å follow each position.
Atoms (fractional coordinates):
Tl1 0.0000 0.0000 0.0000  2 H 2.75, 1 Ag 3.07
Ag1 0.0828 0.0000 0.5215  2 Ge 2.62, 2 Se 2.79
Ge1 0.7134 0.5000 0.4103  1 H 1.61
H1 0.4056 0.5000 0.1850  1 Ge 1.61
Se1 0.5000 0.5000 0.7139  1 Ge 2.47



[3]
A plane-wave DFT calculation with PBE was carried out for a relaxed structure of Ca3CuH.

space group: Pm-3m (221)
total magnetic moment: 0.0 μB per formula unit
VASP energy: -13.8 eV per cell

Unit cell a=4.9009 b=4.9009 c=4.9009 alpha=90.00 beta=90.00 gamma=90.00
Closest atoms and distances in Å follow each position.
Atoms (fractional coordinates):
Ca1 0.0000 0.0000 0.5000  2 H 2.45
Ca2 0.0000 0.5000 0.0000  2 H 2.45
Ca3 0.5000 0.0000 0.0000  2 H 2.45
Cu1 0.5000 0.5000 0.5000  12 Ca 3.47
H1 0.0000 0.0000 0.0000  6 Ca 2.45



[4]
A plane-wave DFT calculation with PBE was carried out for a relaxed structure of TbPm5Sm3.

space group: Cmcm (63)
energy of formation: 0.242 eV/atom
total magnetic moment: 0.0 μB per formula unit

Unit cell a=7.7316 b=7.7316 c=11.1480 alpha=90.00 beta=90.00 gamma=69.24
Closest atoms and distances in Å follow each position.
Atoms (fractional coordinates):
Tb1 0.2409 0.7591 0.7500  4 Pm 3.14, 4 Sm 3.34-3.50
Tb2 0.7591 0.2409 0.2500  4 Pm 3.14, 4 Sm 3.34-3.50
Pm1 0.1863 0.5305 0.5300  2 Pm 3.10-3.15, 1 Tb 3.14, 1 Sm 3.41
Pm2 0.1863 0.5305 0.9700  2 Pm 3.10-3.15, 1 Tb 3.14, 1 Sm 3.41
Pm3 0.3424 0.6576 0.2500  4 Pm 3.61, 1 Tb 3.66, 2 Sm 3.95
Pm4 0.4695 0.8137 0.5300  2 Pm 3.10-3.15, 1 Tb 3.14, 1 Sm 3.41
Pm5 0.4695 0.8137 0.9700  2 Pm 3.10-3.15, 1 Tb 3.14, 1 Sm 3.41
Pm6 0.5305 0.1863 0.0300  2 Pm 3.10-3.15, 1 Tb 3.14, 1 Sm 3.41
Pm7 0.5305 0.1863 0.4700  2 Pm 3.10-3.15, 1 Tb 3.14, 1 Sm 3.41
Pm8 0.6576 0.3424 0.7500  4 Pm 3.61, 1 Tb 3.66, 2 Sm 3.95
Pm9 0.8137 0.4695 0.0300  2 Pm 3.10-3.15, 1 Tb 3.14, 1 Sm 3.41
Pm10 0.8137 0.4695 0.4700  2 Pm 3.10-3.15, 1 Tb 3.14, 1 Sm 3.41
Sm1 0.0000 0.0000 0.0000  4 Pm 3.41, 2 Tb 3.50
Sm2 0.0000 0.0000 0.5000  4 Pm 3.41, 2 Tb 3.50
Sm3 0.2000 0.2148 0.2500  1 Tb 3.34, 2 Pm 3.49
Sm4 0.2148 0.2000 0.7500  1 Tb 3.34, 2 Pm 3.49
Sm5 0.7852 0.8000 0.2500  1 Tb 3.34, 2 Pm 3.49
Sm6 0.8000 0.7852 0.7500  1 Tb 3.34, 2 Pm 3.49



[5]
A plane-wave DFT calculation with PBE was carried out for a relaxed structure of Er7Tl2Sb2.

space group: Cmmm (65)
E_form (uncorrected): -0.245 eV per atom
total magnetic moment: 0.0 μB per formula unit

Unit cell a=6.8719 b=6.8719 c=7.4468 alpha=90.00 beta=90.00 gamma=105.06
Closest atoms and distances in Å follow each position.
Atoms (fractional coordinates):
Er1 0.0000 0.0000 0.0000  2 Sb 3.08
Er2 0.0000 0.5000 0.2785  2 Sb 2.97, 2 Tl 3.24, 1 Er 3.30
Er3 0.0000 0.5000 0.7215  2 Sb 2.97, 2 Tl 3.24, 1 Er 3.30
Er4 0.5000 0.0000 0.2785  2 Sb 2.97, 2 Tl 3.24, 1 Er 3.30
Er5 0.5000 0.0000 0.7215  2 Sb 2.97, 2 Tl 3.24, 1 Er 3.30
Er6 0.5000 0.5000 0.2658  2 Sb 3.09, 2 Tl 3.18, 4 Er 3.44
Er7 0.5000 0.5000 0.7342  2 Sb 3.09, 2 Tl 3.18, 4 Er 3.44
Tl1 0.1815 0.1815 0.5000  1 Tl 3.03, 6 Er 3.18-3.24
Tl2 0.8185 0.8185 0.5000  1 Tl 3.03, 6 Er 3.18-3.24
Sb1 0.2821 0.7179 0.0000  7 Er 2.97-3.09
Sb2 0.7179 0.2821 0.0000  7 Er 2.97-3.09



[6]
A plane-wave DFT calculation with PBE was carried out for a relaxed structure of InSi3N.

space group: Pm-3m (221)
E_form (uncorrected): 0.684 eV per atom
total magnetic moment: 0.0 μB per formula unit

Unit cell a=4.2346 b=4.2346 c=4.2346 alpha=90.00 beta=90.00 gamma=90.00
Closest atoms and distances in Å follow each position.
Atoms (fractional coordinates):
In1 0.0000 0.0000 0.0000  12 Si 2.99
Si1 0.0000 0.5000 0.5000  2 N 2.12
Si2 0.5000 0.0000 0.5000  2 N 2.12
Si3 0.5000 0.5000 0.0000  2 N 2.12
N1 0.5000 0.5000 0.5000  6 Si 2.12



[7]
A plane-wave DFT calculation with PBE was carried out for a relaxed structure of CaMoPb2.

space group: P2/m (10)
energy of formation: 0.204 eV/atom
total magnetic moment: 0.0 μB per formula unit

Unit cell a=3.5479 b=3.5499 c=7.6981 alpha=90.00 beta=90.11 gamma=90.00
Closest atoms and distances in Å follow each position.
Atoms (fractional coordinates):
Ca1 0.0000 0.0000 0.0000  8 Pb 3.36, 4 Ca 3.55
Mo1 0.0000 0.0000 0.5000  8 Pb 2.98
Pb1 0.5000 0.5000 0.2907  4 Mo 2.98, 1 Pb 3.22
Pb2 0.5000 0.5000 0.7093  4 Mo 2.98, 1 Pb 3.22



[8]
A plane-wave DFT calculation with PBE was carried out for a relaxed structure of ReAgPtF2.

space group: P4/mmm (123)
E_form (uncorrected): 0.414 eV per atom
total magnetic moment: 4.0 μB per formula unit

Unit cell a=3.9987 b=3.9987 c=5.7463 alpha=90.00 beta=90.00 gamma=90.00
Closest atoms and distances in Å follow each position.
Atoms (fractional coordinates):
Re1 0.0000 0.0000 0.0000  4 Pt 2.83
Ag1 0.5000 0.5000 0.5000  4 F 2.00
Pt1 0.5000 0.5000 0.0000  4 Re 2.83, 2 Ag 2.87
F1 0.0000 0.5000 0.5000  2 Ag 2.00
F2 0.5000 0.0000 0.5000  2 Ag 2.00



[9]
A plane-wave DFT calculation with PBE was carried out for a relaxed structure of Ag3Os.

space group: Pm-3m (221)
energy of formation: 0.839 eV/atom
total magnetic moment: 0.0 μB per formula unit

Unit cell a=4.0685 b=4.0685 c=4.0685 alpha=90.00 beta=90.00 gamma=90.00
Closest atoms and distances in Å follow each position.
Atoms (fractional coordinates):
Ag1 0.0000 0.0000 0.5000  4 Os 2.88, 8 Ag 2.88
Ag2 0.0000 0.5000 0.0000  4 Os 2.88, 8 Ag 2.88
Ag3 0.5000 0.0000 0.0000  4 Os 2.88, 8 Ag 2.88
Os1 0.5000 0.5000 0.5000  12 Ag 2.88



[10]
A plane-wave DFT calculation with PBE was carried out for a relaxed structure of Ce3B2AsRh9.

space group: P-3m1 (164)
energy of formation: -0.695 eV/atom
total magnetic moment: 0.6 μB per formula unit

Unit cell a=5.8260 b=5.8260 c=8.4969 alpha=90.00 beta=90.00 gamma=120.00
Closest atoms and distances in Å follow each position.
Atoms (fractional coordinates):
Ce1 0.0000 0.0000 0.0000  12 Rh 2.91-2.94
Ce2 0.3333 0.6667 0.6557  6 Rh 2.96
Ce3 0.6667 0.3333 0.3443  6 Rh 2.96
B1 0.3333 0.6667 0.1487  6 Rh 2.07-2.10
B2 0.6667 0.3333 0.8513  6 Rh 2.07-2.10
As1 0.0000 0.0000 0.5000  6 Rh 2.46
Rh1 0.0000 0.5000 0.0000  2 B 2.10
Rh2 0.1640 0.3280 0.2858  1 B 2.07
Rh3 0.1640 0.8360 0.2858  1 B 2.07
Rh4 0.3280 0.1640 0.7142  1 B 2.07
Rh5 0.5000 0.0000 0.0000  2 B 2.10
Rh6 0.5000 0.5000 0.0000  2 B 2.10
Rh7 0.6720 0.8360 0.2858  1 B 2.07
Rh8 0.8360 0.1640 0.7142  1 B 2.07
Rh9 0.8360 0.6720 0.7142  1 B 2.07



[11]
A plane-wave DFT calculation with PBE was carried out for a relaxed structure of KBi2Cl6.

space group: P-31m (162)
E_form (uncorrected): -1.078 eV per atom
total magnetic moment: 0.6 μB per formula unit

Unit cell a=7.5943 b=7.5943 c=6.4197 alpha=90.00 beta=90.00 gamma=120.00
Closest atoms and distances in Å follow each position.
Atoms (fractional coordinates):
K1 0.0000 0.0000 0.0000  6 Cl 3.27
Bi1 0.3333 0.6667 0.5000  6 Cl 2.82
Bi2 0.6667 0.3333 0.5000  6 Cl 2.82
Cl1 0.0000 0.3583 0.7189  2 Bi 2.82
Cl2 0.0000 0.6417 0.2811  2 Bi 2.82
Cl3 0.3583 0.0000 0.7189  2 Bi 2.82
Cl4 0.3583 0.3583 0.2811  2 Bi 2.82
Cl5 0.6417 0.0000 0.2811  2 Bi 2.82
Cl6 0.6417 0.6417 0.7189  2 Bi 2.82



[12]
A plane-wave DFT calculation with PBE was carried out for a relaxed structure of Li8Zn3Ag2.

space group: P2/m (10)
energy of formation: -0.117 eV/atom
total magnetic moment: 0.0 μB per formula unit

Unit cell a=6.7395 b=4.4129 c=7.8709 alpha=90.00 beta=109.74 gamma=90.00
Closest atoms and distances in Å follow each position.
Atoms (fractional coordinates):
Li1 0.0708 0.0000 0.3592  1 Ag 2.61, 3 Zn 2.66-2.73, 4 Li 2.69-2.86
Li2 0.1116 0.5000 0.8713  2 Ag 2.74, 1 Zn 2.76, 5 Li 2.86-2.99
Li3 0.3699 0.0000 0.7977  2 Ag 2.65-2.84, 3 Zn 2.76-2.89, 1 Li 2.81
Li4 0.3774 0.5000 0.2841  4 Zn 2.68-2.75, 2 Ag 2.70, 2 Li 2.99
Li5 0.6226 0.5000 0.7159  4 Zn 2.68-2.75, 2 Ag 2.70, 2 Li 2.99
Li6 0.6301 0.0000 0.2023  2 Ag 2.65-2.84, 3 Zn 2.76-2.89, 1 Li 2.81
Li7 0.8884 0.5000 0.1287  2 Ag 2.74, 1 Zn 2.76, 5 Li 2.86-2.99
Li8 0.9292 0.0000 0.6408  1 Ag 2.61, 3 Zn 2.66-2.73, 4 Li 2.69-2.86
Zn1 0.2032 0.5000 0.5544  1 Zn 2.58, 7 Li 2.66-2.89
Zn2 0.5000 0.0000 0.5000  8 Li 2.73-2.76
Zn3 0.7968 0.5000 0.4456  1 Zn 2.58, 7 Li 2.66-2.89
Ag1 0.2131 0.0000 0.0898  7 Li 2.61-2.84, 1 Ag 2.74
Ag2 0.7869 0.0000 0.9102  7 Li 2.61-2.84, 1 Ag 2.74



[13]
A plane-wave DFT calculation with PBE was carried out for a relaxed structure of Y2TaO.

space group: I-42d (122)
E_form (uncorrected): -0.682 eV per atom
total magnetic moment: 1.1 μB per formula unit

Unit cell a=6.7590 b=6.7590 c=8.1943 alpha=90.00 beta=90.00 gamma=90.00
Closest atoms and distances in Å follow each position.
Atoms (fractional coordinates):
Y1 0.1376 0.2500 0.1250  2 O 2.18
Y2 0.2500 0.6376 0.3750  2 O 2.18
Y3 0.2500 0.8624 0.8750  2 O 2.18
Y4 0.3624 0.2500 0.6250  2 O 2.18
Y5 0.6376 0.7500 0.6250  2 O 2.18
Y6 0.7500 0.1376 0.8750  2 O 2.18
Y7 0.7500 0.3624 0.3750  2 O 2.18
Y8 0.8624 0.7500 0.1250  2 O 2.18
Ta1 0.0000 0.0000 0.5000  4 Y 3.15
Ta2 0.0000 0.5000 0.7500  4 Y 3.15
Ta3 0.5000 0.0000 0.2500  4 Y 3.15
Ta4 0.5000 0.5000 0.0000  4 Y 3.15
O1 0.0000 0.0000 0.0000  4 Y 2.18
O2 0.0000 0.5000 0.2500  4 Y 2.18
O3 0.5000 0.0000 0.7500  4 Y 2.18
O4 0.5000 0.5000 0.5000  4 Y 2.18



[14]
A plane-wave DFT calculation with PBE was carried out for a relaxed structure of CdSn3.

space group: P4/mmm (123)
energy of formation: 0.071 eV/atom
total magnetic moment: 0.0 μB per formula unit

Unit cell a=3.3939 b=3.3939 c=9.3079 alpha=90.00 beta=90.00 gamma=90.00
Closest atoms and distances in Å follow each position.
Atoms (fractional coordinates):
Cd1 0.0000 0.0000 0.0000  8 Sn 3.30, 4 Cd 3.39
Sn1 0.0000 0.0000 0.5000  12 Sn 3.39
Sn2 0.5000 0.5000 0.2433  4 Cd 3.30, 8 Sn 3.39
Sn3 0.5000 0.5000 0.7567  4 Cd 3.30, 8 Sn 3.39



[15]
A plane-wave DFT calculation with PBE was carried out for a relaxed structure of CoHgPt2.

space group: C2/m (12)
energy of formation: 0.125 eV/atom
total magnetic moment: 2.1 μB per formula unit

Unit cell a=9.3040 b=2.8495 c=4.8852 alpha=90.00 beta=101.79 gamma=90.00
Closest atoms and distances in Å follow each position.
Atoms (fractional coordinates):
Co1 0.0000 0.0000 0.0000  6 Pt 2.69-2.89, 4 Hg 2.83, 2 Co 2.85
Co2 0.5000 0.5000 0.0000  6 Pt 2.69-2.89, 4 Hg 2.83, 2 Co 2.85
Hg1 0.0000 0.5000 0.5000  6 Pt 2.80-2.88, 4 Co 2.83, 2 Hg 2.85
Hg2 0.5000 0.0000 0.5000  6 Pt 2.80-2.88, 4 Co 2.83, 2 Hg 2.85
Pt1 0.2392 0.5000 0.2339  3 Co 2.69-2.89, 6 Pt 2.74-2.94, 3 Hg 2.80-2.88
Pt2 0.2608 0.0000 0.7661  3 Co 2.69-2.89, 6 Pt 2.74-2.94, 3 Hg 2.80-2.88
Pt3 0.7392 0.0000 0.2339  3 Co 2.69-2.89, 6 Pt 2.74-2.94, 3 Hg 2.80-2.88
Pt4 0.7608 0.5000 0.7661  3 Co 2.69-2.89, 6 Pt 2.74-2.94, 3 Hg 2.80-2.88



Result set for calculated volume: 259; 112; 118; 623; 340; 76; 97; 92; 67; 250; 321; 220; 374; 107; 127 Å³/cell, one per record in the order listed.